This record from the Alexandria database describes a geometry-optimized Li3Ac2FeO6 structure. The functional is GGA+U.

Properties
Crystal system   monoclinic
Total energy   -6.28 eV/atom

a = 6.3047 Å, b = 6.3047 Å, c = 5.3508 Å
α = 97.58°, β = 97.58°, γ = 125.56°
Each line ends with the local moment (μB).
Sites, in units of the cell vectors:
Li 0.0987 0.9013 0.5000  0.00
Li 0.9013 0.0987 0.5000  0.00
Li 0.5000 0.5000 0.5000  0.01
Ac 0.3356 0.6644 0.0000  0.00
Ac 0.6644 0.3356 0.0000  0.00
Fe 0.0000 0.0000 0.0000  3.21
O 0.9506 0.6850 0.7728  -0.06
O 0.7273 0.7273 0.2552  0.04
O 0.0494 0.3150 0.2272  -0.06
O 0.6850 0.9506 0.7728  -0.06
O 0.2727 0.2727 0.7448  0.04
O 0.3150 0.0494 0.2272  -0.06